A plane-wave DFT calculation with GGA-PBE was carried out for a relaxed structure of RbMgV.

Values from the calculation:
**ΔH_f (0 K)**: 558 meV/atom
**ΔE to the lowest computed polymorph**: 0.18 eV per formula unit
**Spin magnetization**: 0.00 μB/f.u.
**Total energy**: -3.3358 eV/atom

a b c (Å): 4.975 4.975 12.301
angles (deg): 78.40 89.64 60.01
Space group P1 (No. 1)
Inequivalent atoms, fractional coordinates:
Rb  0.000  0.000  0.000 (multiplicity 1)
Rb  0.191  0.589  0.628 (multiplicity 1)
Mg  0.094  0.795  0.314 (multiplicity 1)
Mg  0.427  0.129  0.312 (multiplicity 1)
V  0.737  0.512  0.236 (multiplicity 1)
V  0.785  0.411  0.391 (multiplicity 1)

---

A plane-wave DFT calculation with GGA-PBE was carried out for a relaxed structure of RbMgV.

Values from the calculation:
**ΔH_f (0 K)**: 962 meV/atom
**ΔE to the lowest computed polymorph**: 1.39 eV per formula unit
**Spin magnetization**: 4.12 μB/f.u.
**Total energy**: -2.9320 eV/atom

a b c (Å): 5.688 5.688 6.861
angles (deg): 90.00 90.00 90.00
Space group P4/nmm (No. 129, origin choice 2)
Inequivalent atoms, fractional coordinates:
Rb  0.250  0.250  0.001 (multiplicity 2)
Mg  0.250  0.750  0.500 (multiplicity 2)
V  0.250  0.250  0.501 (multiplicity 2)

---

A plane-wave DFT calculation with GGA-PBE was carried out for a relaxed structure of RbMgV3.

Values from the calculation:
**ΔH_f (0 K)**: 1773 meV/atom
**ΔE to the lowest computed polymorph**: 0.00 eV per formula unit
**Spin magnetization**: 11.93 μB/f.u.
**Total energy**: -4.2104 eV/atom

a b c (Å): 5.322 5.322 5.322
angles (deg): 90.00 90.00 90.00
Space group Pm-3m (No. 221)
Inequivalent atoms, fractional coordinates:
Rb  0.000  0.000  0.000 (multiplicity 1)
Mg  0.500  0.500  0.500 (multiplicity 1)
V  0.000  0.500  0.500 (multiplicity 3)

---

A plane-wave DFT calculation with GGA-PBE was carried out for a relaxed structure of RbMgV.

Values from the calculation:
**ΔH_f (0 K)**: 514 meV/atom
**ΔE to the lowest computed polymorph**: 0.04 eV per formula unit
**Spin magnetization**: 0.00 μB/f.u.
**Total energy**: -3.3798 eV/atom

a b c (Å): 3.662 4.207 13.520
angles (deg): 91.85 97.45 90.01
Space group P-1 (No. 2)
Inequivalent atoms, fractional coordinates:
Rb  0.162  0.233  0.335 (multiplicity 2)
Mg  0.445  0.313  0.886 (multiplicity 2)
V  0.023  0.177  0.045 (multiplicity 2)